# 1
# Ac4GeBi2 (PBE-GGA, relaxed)
# * ΔE_f: -0.499 eV per atom
data_Ac4GeBi2
_chemical_formula_sum 'Ac8 Ge2 Bi4'
_space_group_name_H-M_alt 'I 4/m m m'
_space_group_IT_number 139
_space_group_name_Hall '-I 4 2'
_cell_length_a 5.847
_cell_length_b 5.847
_cell_length_c 17.592
_cell_angle_alpha 90.00
_cell_angle_beta 90.00
_cell_angle_gamma 90.00
loop_
_atom_site_label
_atom_site_fract_x
_atom_site_fract_y
_atom_site_fract_z
Ac1 0.000 0.000 0.175
Ac2 0.000 0.500 0.000
Ge1 0.000 0.000 0.000
Bi1 0.000 0.000 0.368

# 2
# Sn2TeAs (PBE-GGA, relaxed)
# * relative energy among the computed polymorphs: 0 meV per atom
data_Sn2TeAs
_chemical_formula_sum 'Sn6 Te3 As3'
_space_group_name_H-M_alt 'R -3 m'
_space_group_IT_number 166
_space_group_name_Hall '-R 3 2"'
_cell_length_a 4.2942
_cell_length_b 4.2942
_cell_length_c 21.1053
_cell_angle_alpha 90.00
_cell_angle_beta 90.00
_cell_angle_gamma 120.00
loop_
_atom_site_label
_atom_site_fract_x
_atom_site_fract_y
_atom_site_fract_z
Sn1 0.0000 0.0000 0.2405
Te1 0.0000 0.0000 0.0000
As1 0.0000 0.0000 0.5000

Values for ρ, g/cm3, ordered as above
7.7 6.5
Values for V, A^3/atom, ordered as above
42.96 28.09